1.
Compound: CsIN
Source: Alexandria
Functional: GGA-PBE
Structure: optimized geometry

a = 11.411 Å, b = 5.467 Å, c = 10.916 Å
α = 90.00°, β = 93.40°, γ = 90.00°
Fractional positions:
1 Cs 0.168 0.249 0.383
2 Cs 0.168 0.251 0.883
3 Cs 0.832 0.749 0.117
4 Cs 0.832 0.751 0.617
5 I 0.174 0.749 0.133
6 I 0.174 0.751 0.633
7 I 0.826 0.249 0.367
8 I 0.826 0.251 0.867
9 N 0.460 0.047 0.980
10 N 0.460 0.453 0.480
11 N 0.540 0.547 0.520
12 N 0.540 0.953 0.020

Computed properties:
Its total magnetization is 0.00 μB/cell. The density is 2.676 g/cm³. As for the space group: No. 14. Its uncorrected energy is -4.581 eV/atom. The density of states at the Fermi level is 0.00 states/eV/cell.

=====

2.
Compound: CsIN2
Source: Alexandria
Functional: GGA-PBE
Structure: optimized geometry

a = 7.784 Å, b = 7.784 Å, c = 7.784 Å
α = 35.75°, β = 35.75°, γ = 35.75°
Fractional positions:
1 Cs 0.000 0.000 0.000
2 I 0.500 0.500 0.500
3 N 0.409 0.409 0.409
4 N 0.591 0.591 0.591

Computed properties:
Its total magnetization is 1.99 μB/cell. The density is 3.320 g/cm³. The calculation puts the energy relative to the lowest polymorph listed for this composition at 2141.9 meV/atom. As for the space group: No. 166. Its uncorrected energy is -3.335 eV/atom. The density of states at the Fermi level is 5.31 states/eV/cell.

=====

3.
Compound: CsIN4
Source: Alexandria
Functional: GGA-PBE
Structure: optimized geometry

a = 5.551 Å, b = 5.551 Å, c = 8.233 Å
α = 120.73°, β = 120.73°, γ = 33.48°
Fractional positions:
1 Cs 0.000 0.000 0.000
2 I 0.000 0.000 0.500
3 N 0.195 0.195 0.755
4 N 0.445 0.445 0.622
5 N 0.555 0.555 0.378
6 N 0.805 0.805 0.245

Computed properties:
Its total magnetization is 4.06 μB/cell. The density is 4.431 g/cm³. As for the space group: No. 12. Its uncorrected energy is -3.748 eV/atom. The density of states at the Fermi level is 1.31 states/eV/cell.

=====

4.
Compound: CsIN
Source: Alexandria
Functional: GGA-PBE
Structure: optimized geometry

a = 5.427 Å, b = 5.489 Å, c = 11.616 Å
α = 93.62°, β = 103.23°, γ = 90.00°
Fractional positions:
1 Cs 0.168 0.222 0.332
2 Cs 0.832 0.778 0.668
3 I 0.336 0.279 0.677
4 I 0.664 0.721 0.323
5 N 0.020 0.443 0.039
6 N 0.980 0.557 0.961

Computed properties:
Its total magnetization is 0.00 μB/cell. The density is 2.705 g/cm³. As for the space group: No. 2. Its uncorrected energy is -4.581 eV/atom. The density of states at the Fermi level is 0.00 states/eV/cell.

=====

Question: The highest total magnetization belongs to which entry?
Answer: CsIN4